No. 1
PBE-GGA NdPuGe, relaxed; total moment = 6.0 Bohr magnetons per cell; space-group type = P3m1, No. 156; N(E_F) = 7.3 states/eV/cell; relative energy among the computed polymorphs = 45 meV per atom; V = 78 Å³/f.u.
1.0
3.7592 0.0000 0.0000
0.0000 4.9051 0.0000
0.0000 -2.4525 4.2479
Ge Nd Pu
1 1 1
direct
0.6925 0.6667 0.3333 Ge
0.3634 0.3333 0.6667 Nd
0.9441 0.0000 0.0000 Pu


No. 2
PBE-GGA Lu2VS, relaxed; E_form (uncorrected) = -0.216 eV per atom; total moment = 2.9 Bohr magnetons per cell; space-group type = R-3m, No. 166; N(E_F) = 4.0 states/eV/cell; V = 93 Å³/f.u.
1.0
3.4522 0.0000 0.0000
1.7261 2.9897 0.0000
1.7261 0.9966 9.0398
S Lu V
1 2 1
direct
0.5000 0.5000 0.5000 S
0.1035 0.1035 0.6894 Lu
0.8965 0.8965 0.3106 Lu
0.0000 0.0000 0.0000 V


No. 3
PBE-GGA KBa2CaPd, relaxed; total moment = 0.0 Bohr magnetons per cell; space-group type = P4/mmm, No. 123; N(E_F) = 3.3 states/eV/cell; relative energy among the computed polymorphs = 0 meV per atom; V = 243 Å³/f.u.
1.0
-4.6216 4.0191 1.8891
-2.6585 -0.3198 -5.8234
-3.2878 -4.6050 1.7539
K Ca Ba Pd
1 1 2 1
direct
0.5000 0.5000 0.5000 K
0.0000 0.0000 0.5000 Ca
0.0000 0.5000 0.0000 Ba
0.5000 0.0000 0.0000 Ba
0.0000 0.0000 0.0000 Pd


No. 4
PBE-GGA Ba2GaSb, relaxed; E_form (uncorrected) = -0.339 eV per atom; total moment = 0.0 Bohr magnetons per cell; space-group type = I-42d, No. 122; N(E_F) = 8.6 states/eV/cell; relative energy among the computed polymorphs = 278 meV per atom; V = 163 Å³/f.u.
1.0
9.2236 0.0000 0.0000
0.0000 9.2236 0.0000
4.6118 4.6118 3.8401
Sb Ba Ga
2 4 2
direct
0.0000 0.0000 0.0000 Sb
0.7500 0.2500 0.5000 Sb
0.6252 0.1250 0.2500 Ba
0.1248 0.6250 0.2500 Ba
0.3750 0.3748 0.7500 Ba
0.8750 0.8752 0.7500 Ba
0.5000 0.5000 0.0000 Ga
0.2500 0.7500 0.5000 Ga